Entry 1:
Material: MgCrPb
Method: DFT, meta-GGA SCAN
State: single point on PBEsol structure

Geometry as CIF:
```
data_MgCrPb
_chemical_formula_sum 'Mg1 Cr1 Pb1'
_cell_length_a 4.6697
_cell_length_b 4.6697
_cell_length_c 4.6697
_cell_angle_alpha 60.00
_cell_angle_beta 60.00
_cell_angle_gamma 60.00
_space_group_name_H-M_alt 'P 1'
_space_group_IT_number 1
_space_group_name_Hall 'P 1'
loop_
_atom_site_label
_atom_site_type_symbol
_atom_site_fract_x
_atom_site_fract_y
_atom_site_fract_z
Pb1 Pb 0.2500 0.2500 0.2500
Cr1 Cr 0.0000 0.0000 0.0000
Mg1 Mg 0.5000 0.5000 0.5000
```

Calculated values
Energy of formation from the pure elements = 0.11 eV/atom
Total magnetization = 4.00 μB per formula unit
N(E_F) = 0.351 states/eV per atom
Theoretical density = 6.54 g/cm3

Entry 2:
Material: Mg4Au5
Method: DFT, meta-GGA SCAN
State: single point on PBEsol structure

Geometry as CIF:
```
data_Mg4Au5
_chemical_formula_sum 'Mg8 Au10'
_cell_length_a 5.6673
_cell_length_b 8.0004
_cell_length_c 8.0004
_cell_angle_alpha 120.00
_cell_angle_beta 90.00
_cell_angle_gamma 90.00
_space_group_name_H-M_alt 'P 1'
_space_group_IT_number 1
_space_group_name_Hall 'P 1'
loop_
_atom_site_label
_atom_site_type_symbol
_atom_site_fract_x
_atom_site_fract_y
_atom_site_fract_z
Mg1 Mg 0.2500 0.3603 0.3603
Mg2 Mg 0.5000 0.0000 0.0000
Au1 Au 0.7500 0.3057 0.3057
Au2 Au 0.2500 0.0000 0.3057
Au3 Au 0.2500 0.6943 0.6943
Au4 Au 0.7500 0.6943 0.0000
Au5 Au 0.0000 0.6667 0.3333
Au6 Au 0.2500 0.3057 0.0000
Mg3 Mg 0.7500 0.0000 0.3603
Mg4 Mg 0.2500 0.6397 0.0000
Au7 Au 0.0000 0.3333 0.6667
Au8 Au 0.7500 0.0000 0.6943
Mg5 Mg 0.7500 0.6397 0.6397
Au9 Au 0.5000 0.6667 0.3333
Mg6 Mg 0.7500 0.3603 0.0000
Mg7 Mg 0.0000 0.0000 0.0000
Au10 Au 0.5000 0.3333 0.6667
Mg8 Mg 0.2500 0.0000 0.6397
```

Calculated values
Energy of formation from the pure elements = -0.63 eV/atom
Total magnetization = 0.00 μB per formula unit
N(E_F) = 0.258 states/eV per atom
Theoretical density = 11.44 g/cm3

Entry 3:
Material: GaAuSe2F
Method: DFT, meta-GGA SCAN
State: single point on PBEsol structure

Geometry as CIF:
```
data_GaAuSe2F
_chemical_formula_sum 'Ga1 Au1 Se2 F1'
_cell_length_a 4.8214
_cell_length_b 4.8214
_cell_length_c 4.8387
_cell_angle_alpha 90.00
_cell_angle_beta 90.00
_cell_angle_gamma 90.00
_space_group_name_H-M_alt 'P 1'
_space_group_IT_number 1
_space_group_name_Hall 'P 1'
loop_
_atom_site_label
_atom_site_type_symbol
_atom_site_fract_x
_atom_site_fract_y
_atom_site_fract_z
Ga1 Ga 0.0000 0.0000 0.0000
Se1 Se 0.5000 0.0000 0.0000
F1 F 0.5000 0.5000 0.5000
Au1 Au 0.0000 0.0000 0.5000
Se2 Se 0.0000 0.5000 0.0000
```

Calculated values
Total magnetization = 1.07 μB per formula unit
N(E_F) = 1.010 states/eV per atom
Theoretical density = 6.55 g/cm3
Final energy = -127.41 eV/f.u.

Entry 4:
Material: Cd3AgGe
Method: DFT, meta-GGA SCAN
State: single point on PBEsol structure

Geometry as CIF:
```
data_Cd3AgGe
_chemical_formula_sum 'Cd3 Ag1 Ge1'
_cell_length_a 5.0683
_cell_length_b 5.0683
_cell_length_c 5.0683
_cell_angle_alpha 90.00
_cell_angle_beta 90.00
_cell_angle_gamma 90.00
_space_group_name_H-M_alt 'P 1'
_space_group_IT_number 1
_space_group_name_Hall 'P 1'
loop_
_atom_site_label
_atom_site_type_symbol
_atom_site_fract_x
_atom_site_fract_y
_atom_site_fract_z
Ag1 Ag 0.5000 0.5000 0.5000
Cd1 Cd 0.5000 0.0000 0.0000
Cd2 Cd 0.0000 0.5000 0.0000
Ge1 Ge 0.0000 0.0000 0.0000
Cd3 Cd 0.0000 0.0000 0.5000
```

Calculated values
Energy of formation from the pure elements = 0.51 eV/atom
Total magnetization = 0.00 μB per formula unit
N(E_F) = 0.508 states/eV per atom
Theoretical density = 6.60 g/cm3

Entry 5:
Material: CrAg3Rh
Method: DFT, meta-GGA SCAN
State: single point on PBEsol structure

Geometry as CIF:
```
data_CrAg3Rh
_chemical_formula_sum 'Cr1 Ag3 Rh1'
_cell_length_a 4.6800
_cell_length_b 4.6800
_cell_length_c 4.6800
_cell_angle_alpha 90.00
_cell_angle_beta 90.00
_cell_angle_gamma 90.00
_space_group_name_H-M_alt 'P 1'
_space_group_IT_number 1
_space_group_name_Hall 'P 1'
loop_
_atom_site_label
_atom_site_type_symbol
_atom_site_fract_x
_atom_site_fract_y
_atom_site_fract_z
Ag1 Ag 0.0000 0.5000 0.0000
Ag2 Ag 0.5000 0.0000 0.0000
Ag3 Ag 0.0000 0.0000 0.5000
Cr1 Cr 0.0000 0.0000 0.0000
Rh1 Rh 0.5000 0.5000 0.5000
```

Calculated values
Energy of formation from the pure elements = 1.42 eV/atom
Total magnetization = 5.98 μB per formula unit
N(E_F) = 0.264 states/eV per atom
Theoretical density = 7.75 g/cm3

Entry 6:
Material: Cu4Pt
Method: DFT, meta-GGA SCAN
State: single point on PBEsol structure

Geometry as CIF:
```
data_Cu4Pt
_chemical_formula_sum 'Cu4 Pt1'
_cell_length_a 3.6849
_cell_length_b 4.4557
_cell_length_c 4.4557
_cell_angle_alpha 80.15
_cell_angle_beta 65.57
_cell_angle_gamma 65.57
_space_group_name_H-M_alt 'P 1'
_space_group_IT_number 1
_space_group_name_Hall 'P 1'
loop_
_atom_site_label
_atom_site_type_symbol
_atom_site_fract_x
_atom_site_fract_y
_atom_site_fract_z
Cu1 Cu 0.1967 0.2072 0.3994
Pt1 Pt 0.0000 0.0000 0.0000
Cu2 Cu 0.4039 0.3994 0.7928
Cu3 Cu 0.5961 0.6006 0.2072
Cu4 Cu 0.8033 0.7928 0.6006
```

Calculated values
Energy of formation from the pure elements = -0.12 eV/atom
Total magnetization = 0.00 μB per formula unit
N(E_F) = 0.306 states/eV per atom
Theoretical density = 12.30 g/cm3

Entry 7:
Material: Na4Li5B3O9
Method: DFT, meta-GGA SCAN
State: single point on PBEsol structure

Geometry as CIF:
```
data_Na4Li5B3O9
_chemical_formula_sum 'Na8 Li10 B6 O18'
_cell_length_a 7.1943
_cell_length_b 7.1943
_cell_length_c 9.7442
_cell_angle_alpha 75.00
_cell_angle_beta 75.00
_cell_angle_gamma 61.06
_space_group_name_H-M_alt 'P 1'
_space_group_IT_number 1
_space_group_name_Hall 'P 1'
loop_
_atom_site_label
_atom_site_type_symbol
_atom_site_fract_x
_atom_site_fract_y
_atom_site_fract_z
Na1 Na 0.6358 0.1201 0.0156
Li1 Li 0.0768 0.0139 0.3604
O1 O 0.2913 0.9998 0.7376
Na2 Na 0.3642 0.8799 0.9844
B1 B 0.6039 0.3961 0.7500
B2 B 0.7480 0.9170 0.4038
B3 B 0.9170 0.7480 0.9038
Li2 Li 0.2760 0.7240 0.7500
Li3 Li 0.9232 0.9861 0.6396
B4 B 0.3961 0.6039 0.2500
Li4 Li 0.4818 0.7041 0.4886
Na3 Na 0.3340 0.2234 0.2853
Na4 Na 0.8799 0.3642 0.4844
B5 B 0.0830 0.2520 0.0962
Li5 Li 0.7240 0.2760 0.2500
O2 O 0.2777 0.2501 0.0287
O3 O 0.4765 0.4687 0.6444
Na5 Na 0.7766 0.6660 0.2147
O4 O 0.2078 0.9669 0.5239
O5 O 0.7087 0.0002 0.2624
Li6 Li 0.2959 0.5182 0.0114
Li7 Li 0.9861 0.9232 0.1396
O6 O 0.9669 0.2078 0.0239
Na6 Na 0.2234 0.3340 0.7853
O7 O 0.0002 0.7087 0.7624
O8 O 0.7923 0.2077 0.7500
Li8 Li 0.0139 0.0768 0.8604
Na7 Na 0.6660 0.7766 0.7147
O9 O 0.7223 0.7499 0.9713
O10 O 0.5313 0.5235 0.8556
O11 O 0.2501 0.2777 0.5287
O12 O 0.7499 0.7223 0.4713
O13 O 0.9998 0.2913 0.2376
O14 O 0.2077 0.7923 0.2500
O15 O 0.0331 0.7922 0.9761
Li9 Li 0.5182 0.2959 0.5114
Li10 Li 0.7041 0.4818 0.9886
B6 B 0.2520 0.0830 0.5962
O16 O 0.7922 0.0331 0.4761
Na8 Na 0.1201 0.6358 0.5156
O17 O 0.5235 0.5313 0.3556
O18 O 0.4687 0.4765 0.1444
```

Calculated values
Total magnetization = 0.00 μB per formula unit
N(E_F) = 0.000 states/eV per atom
Theoretical density = 2.39 g/cm3
Final energy = -156.35 eV/f.u.

Entry 8:
Material: ReRh2W
Method: DFT, meta-GGA SCAN
State: single point on PBEsol structure

Geometry as CIF:
```
data_ReRh2W
_chemical_formula_sum 'Re1 Rh2 W1'
_cell_length_a 3.8122
_cell_length_b 3.8122
_cell_length_c 3.8978
_cell_angle_alpha 90.00
_cell_angle_beta 90.00
_cell_angle_gamma 90.00
_space_group_name_H-M_alt 'P 1'
_space_group_IT_number 1
_space_group_name_Hall 'P 1'
loop_
_atom_site_label
_atom_site_type_symbol
_atom_site_fract_x
_atom_site_fract_y
_atom_site_fract_z
Rh1 Rh 0.5000 0.0000 0.0000
Re1 Re 0.0000 0.0000 0.5000
Rh2 Rh 0.0000 0.5000 0.0000
W1 W 0.5000 0.5000 0.5000
```

Calculated values
Energy of formation from the pure elements = -0.16 eV/atom
Total magnetization = 0.00 μB per formula unit
N(E_F) = 0.685 states/eV per atom
Theoretical density = 16.88 g/cm3
Energy relative to the lowest polymorph listed for this composition = 0.055 eV per atom

Entry 9:
Material: BaLa2Sb
Method: DFT, meta-GGA SCAN
State: single point on PBEsol structure

Geometry as CIF:
```
data_BaLa2Sb
_chemical_formula_sum 'Ba1 La2 Sb1'
_cell_length_a 4.2730
_cell_length_b 5.2923
_cell_length_c 6.5516
_cell_angle_alpha 90.00
_cell_angle_beta 106.44
_cell_angle_gamma 90.00
_space_group_name_H-M_alt 'P 1'
_space_group_IT_number 1
_space_group_name_Hall 'P 1'
loop_
_atom_site_label
_atom_site_type_symbol
_atom_site_fract_x
_atom_site_fract_y
_atom_site_fract_z
La1 La 0.7435 0.5000 0.2395
Ba1 Ba 0.3738 0.5000 0.6701
Sb1 Sb 0.7916 0.0000 0.5077
La2 La 0.0911 0.0000 0.0828
```

Calculated values
Total magnetization = 0.00 μB per formula unit
N(E_F) = 0.890 states/eV per atom
Theoretical density = 6.27 g/cm3
Final energy = -165.06 eV/f.u.

Entry 10:
Material: BeZn2Ag
Method: DFT, meta-GGA SCAN
State: single point on PBEsol structure

Geometry as CIF:
```
data_BeZn2Ag
_chemical_formula_sum 'Be1 Zn2 Ag1'
_cell_length_a 2.7249
_cell_length_b 2.7249
_cell_length_c 8.4809
_cell_angle_alpha 80.76
_cell_angle_beta 80.76
_cell_angle_gamma 60.00
_space_group_name_H-M_alt 'P 1'
_space_group_IT_number 1
_space_group_name_Hall 'P 1'
loop_
_atom_site_label
_atom_site_type_symbol
_atom_site_fract_x
_atom_site_fract_y
_atom_site_fract_z
Zn1 Zn 0.2580 0.2580 0.2259
Ag1 Ag 0.5000 0.5000 0.5000
Zn2 Zn 0.7420 0.7420 0.7741
Be1 Be 0.0000 0.0000 0.0000
```

Calculated values
Energy of formation from the pure elements = 0.13 eV/atom
Total magnetization = 0.00 μB per formula unit
N(E_F) = 0.261 states/eV per atom
Theoretical density = 7.68 g/cm3

Entry 11:
Material: Ga3RhBr
Method: DFT, meta-GGA SCAN
State: single point on PBEsol structure

Geometry as CIF:
```
data_Ga3RhBr
_chemical_formula_sum 'Ga3 Rh1 Br1'
_cell_length_a 4.9562
_cell_length_b 4.9562
_cell_length_c 4.9562
_cell_angle_alpha 90.00
_cell_angle_beta 90.00
_cell_angle_gamma 90.00
_space_group_name_H-M_alt 'P 1'
_space_group_IT_number 1
_space_group_name_Hall 'P 1'
loop_
_atom_site_label
_atom_site_type_symbol
_atom_site_fract_x
_atom_site_fract_y
_atom_site_fract_z
Ga1 Ga 0.5000 0.0000 0.0000
Br1 Br 0.0000 0.0000 0.0000
Ga2 Ga 0.0000 0.0000 0.5000
Rh1 Rh 0.5000 0.5000 0.5000
Ga3 Ga 0.0000 0.5000 0.0000
```

Calculated values
Total magnetization = 0.12 μB per formula unit
N(E_F) = 0.935 states/eV per atom
Theoretical density = 5.35 g/cm3
Final energy = -95.82 eV/f.u.

Entry 12:
Material: IrRhW2
Method: DFT, meta-GGA SCAN
State: single point on PBEsol structure

Geometry as CIF:
```
data_IrRhW2
_chemical_formula_sum 'Ir1 Rh1 W2'
_cell_length_a 2.7469
_cell_length_b 4.7504
_cell_length_c 4.7757
_cell_angle_alpha 99.64
_cell_angle_beta 106.71
_cell_angle_gamma 90.00
_space_group_name_H-M_alt 'P 1'
_space_group_IT_number 1
_space_group_name_Hall 'P 1'
loop_
_atom_site_label
_atom_site_type_symbol
_atom_site_fract_x
_atom_site_fract_y
_atom_site_fract_z
Rh1 Rh 0.0000 0.5000 0.0000
Ir1 Ir 0.5000 0.0000 0.0000
W1 W 0.2492 0.2493 0.4984
W2 W 0.7508 0.7507 0.5016
```

Calculated values
Energy of formation from the pure elements = -0.05 eV/atom
Total magnetization = 0.00 μB per formula unit
N(E_F) = 0.653 states/eV per atom
Theoretical density = 18.73 g/cm3
Energy relative to the lowest polymorph listed for this composition = 0.233 eV per atom

Entry 13:
Material: CsCr2AgIr
Method: DFT, meta-GGA SCAN
State: single point on PBEsol structure

Geometry as CIF:
```
data_CsCr2AgIr
_chemical_formula_sum 'Cs1 Cr2 Ag1 Ir1'
_cell_length_a 4.9854
_cell_length_b 4.9854
_cell_length_c 5.7596
_cell_angle_alpha 90.00
_cell_angle_beta 90.00
_cell_angle_gamma 90.00
_space_group_name_H-M_alt 'P 1'
_space_group_IT_number 1
_space_group_name_Hall 'P 1'
loop_
_atom_site_label
_atom_site_type_symbol
_atom_site_fract_x
_atom_site_fract_y
_atom_site_fract_z
Ag1 Ag 0.0000 0.0000 0.0000
Cr1 Cr 0.5000 0.0000 0.0000
Ir1 Ir 0.5000 0.5000 0.5000
Cr2 Cr 0.0000 0.5000 0.0000
Cs1 Cs 0.0000 0.0000 0.5000
```

Calculated values
Energy of formation from the pure elements = 1.80 eV/atom
Total magnetization = 8.32 μB per formula unit
N(E_F) = 0.870 states/eV per atom
Theoretical density = 6.23 g/cm3